1.
The following is a DFT calculation (GGA-PBE) of Pr8Ge3I3N after structural relaxation.

```
15
Lattice="4.247 2.452 7.852 -4.247 2.452 7.852 0.000 -4.904 7.852" Properties=species:S:1:pos:R:3 pbc="T T T"
Pr 0.000 0.000 5.491
Pr -1.875 -1.083 13.227
Pr 0.000 -2.165 10.329
Pr -1.875 1.083 10.329
Pr 1.875 -1.083 13.227
Pr 0.000 2.165 13.227
Pr 1.875 1.083 10.329
Pr 0.000 0.000 18.065
Ge -4.247 0.000 11.778
Ge -2.123 1.226 3.926
Ge 2.123 1.226 3.926
I -2.123 -1.226 7.852
I -2.123 1.226 15.704
I 0.000 2.452 7.852
N 0.000 0.000 11.778
```

## Properties
* DOS(E_F): 0.76 states/eV per atom
* total DFT energy (no corrections): -5.2416 eV per atom
* uncorrected formation energy: -0.90 eV/atom
* symmetry: R-3m (166)

=====

2.
The following is a DFT calculation (GGA-PBE) of PmHoErAl after structural relaxation.

```
4
Lattice="3.516 0.000 0.000 0.000 3.516 0.000 0.000 0.000 9.033" Properties=species:S:1:pos:R:3 pbc="T T T"
Pm 0.000 0.000 0.000
Ho 1.758 1.758 6.402
Er 1.758 1.758 2.609
Al 0.000 0.000 4.497
```

## Properties
* DOS(E_F): 0.80 states/eV per atom
* ΔH_f (0 K): -198 meV/atom
* total DFT energy (no corrections): -4.6063 eV per atom
* symmetry: P4mm (99)

=====

3.
The following is a DFT calculation (GGA-PBE) of ScCd2Br after structural relaxation.

```
8
Lattice="4.062 0.000 0.000 0.000 4.062 0.000 0.000 0.000 11.436" Properties=species:S:1:pos:R:3 pbc="T T T"
Sc 0.000 0.000 0.000
Sc 2.031 2.031 5.718
Cd 0.000 2.031 2.859
Cd 0.000 2.031 8.577
Cd 2.031 0.000 2.859
Cd 2.031 0.000 8.577
Br 0.000 0.000 5.718
Br 2.031 2.031 0.000
```

## Properties
* DOS(E_F): 0.70 states/eV per atom
* total DFT energy (no corrections): -2.7184 eV per atom
* uncorrected formation energy: -0.26 eV/atom
* symmetry: I4/mmm (139)

=====

4.
The following is a DFT calculation (GGA-PBE) of LiLa2Nd3Se6 after structural relaxation.

```
12
Lattice="3.651 -6.342 0.000 3.651 6.342 0.000 -2.460 0.000 6.947" Properties=species:S:1:pos:R:3 pbc="T T T"
Li 0.000 0.000 0.000
La 3.651 2.097 0.000
La 3.651 -2.097 0.000
Nd 2.421 4.216 3.474
Nd 2.421 0.000 3.474
Nd 2.421 -4.216 3.474
Se 1.164 2.040 1.714
Se -0.114 0.000 5.234
Se 1.164 -2.040 1.714
Se 3.678 2.040 5.234
Se 4.957 0.000 1.713
Se 3.678 -2.040 5.234
```

## Properties
* DOS(E_F): 0.47 states/eV per atom
* total DFT energy (no corrections): -5.7576 eV per atom
* uncorrected formation energy: -1.84 eV/atom
* symmetry: C2/m (12)